Here is an optimized crystal structure of FeIrCl from Alexandria. Energies are from PBEsol.

```
data_FeIrCl
_space_group_name_H-M_alt 'F -4 3 m'
_space_group_IT_number 216
_space_group_name_Hall 'F -4 2 3'
_cell_length_a 5.7905
_cell_length_b 5.7905
_cell_length_c 5.7905
_cell_angle_alpha 90.00
_cell_angle_beta 90.00
_cell_angle_gamma 90.00
loop_
_atom_site_label
_atom_site_fract_x
_atom_site_fract_y
_atom_site_fract_z
Fe1 0.0000 0.0000 0.0000
Ir1 0.2500 0.2500 0.2500
Cl1 0.2500 0.2500 0.7500
```

---

Here is an optimized crystal structure of Fe2IrWCl from Alexandria. Energies are from PBEsol.

```
data_Fe2IrWCl
_space_group_name_H-M_alt 'P 4/m m m'
_space_group_IT_number 123
_space_group_name_Hall '-P 4 2'
_cell_length_a 4.6913
_cell_length_b 4.6913
_cell_length_c 4.7454
_cell_angle_alpha 90.00
_cell_angle_beta 90.00
_cell_angle_gamma 90.00
loop_
_atom_site_label
_atom_site_fract_x
_atom_site_fract_y
_atom_site_fract_z
Fe1 0.0000 0.5000 0.0000
Ir1 0.0000 0.0000 0.0000
W1 0.0000 0.0000 0.5000
Cl1 0.5000 0.5000 0.5000
```

---

# KFeCl2 PBEsol relaxed
data_KFeCl2
_space_group_name_H-M_alt 'P 4 m m'
_space_group_IT_number 99
_space_group_name_Hall 'P 4 -2'
_cell_length_a 3.5073
_cell_length_b 3.5073
_cell_length_c 7.3808
_cell_angle_alpha 90.00
_cell_angle_beta 90.00
_cell_angle_gamma 90.00
loop_
_atom_site_label
_atom_site_fract_x
_atom_site_fract_y
_atom_site_fract_z
K1 0.0000 0.0000 0.0000
Fe1 0.5000 0.5000 0.4755
Cl1 0.0000 0.0000 0.4055
Cl2 0.5000 0.5000 0.7881
# - Polymorph energy (0 for the lowest one): 0.138 eV per atom

---

# KFeCl PBEsol relaxed
data_KFeCl
_space_group_name_H-M_alt 'P 3 m 1'
_space_group_IT_number 156
_space_group_name_Hall 'P 3 -2"'
_cell_length_a 3.3892
_cell_length_b 3.3892
_cell_length_c 6.6577
_cell_angle_alpha 90.00
_cell_angle_beta 90.00
_cell_angle_gamma 120.00
loop_
_atom_site_label
_atom_site_fract_x
_atom_site_fract_y
_atom_site_fract_z
K1 0.0000 0.0000 0.0000
Fe1 0.3333 0.6667 0.4255
Cl1 0.6667 0.3333 0.6490
# - Polymorph energy (0 for the lowest one): 0.000 eV per atom

---

# KFe2Cl PBEsol relaxed
data_KFe2Cl
_space_group_name_H-M_alt 'A m m 2'
_space_group_IT_number 38
_space_group_name_Hall 'A 2 -2'
_cell_length_a 3.0920
_cell_length_b 3.2617
_cell_length_c 14.9988
_cell_angle_alpha 90.00
_cell_angle_beta 90.00
_cell_angle_gamma 90.00
loop_
_atom_site_label
_atom_site_fract_x
_atom_site_fract_y
_atom_site_fract_z
K1 0.0000 0.0000 0.0000
Fe1 0.0000 0.0000 0.7580
Fe2 0.5000 0.0000 0.3220
Cl1 0.5000 0.0000 0.6306
# - Polymorph energy (0 for the lowest one): 0.000 eV per atom

---

# KFe2Cl PBEsol relaxed
data_KFe2Cl
_space_group_name_H-M_alt 'C 1 2/m 1'
_space_group_IT_number 12
_space_group_name_Hall '-C 2y'
_cell_length_a 11.4723
_cell_length_b 2.9188
_cell_length_c 5.3375
_cell_angle_alpha 90.00
_cell_angle_beta 110.83
_cell_angle_gamma 90.00
loop_
_atom_site_label
_atom_site_fract_x
_atom_site_fract_y
_atom_site_fract_z
K1 0.0000 0.0000 0.0000
Fe1 0.2016 0.0000 0.5956
Cl1 0.0000 0.5000 0.5000
# - Polymorph energy (0 for the lowest one): 0.286 eV per atom

---

Here is an optimized crystal structure of KFeCl3 from Alexandria. Energies are from PBEsol.

```
data_KFeCl3
_space_group_name_H-M_alt 'P n m a'
_space_group_IT_number 62
_space_group_name_Hall '-P 2ac 2n'
_cell_length_a 8.5578
_cell_length_b 3.6679
_cell_length_c 14.2034
_cell_angle_alpha 90.00
_cell_angle_beta 90.00
_cell_angle_gamma 90.00
loop_
_atom_site_label
_atom_site_fract_x
_atom_site_fract_y
_atom_site_fract_z
K1 0.0627 0.2500 0.1713
Fe1 0.1498 0.7500 0.4469
Cl1 0.0280 0.7500 0.6010
Cl2 0.1799 0.7500 0.0024
Cl3 0.2292 0.2500 0.7975
```

---

# KFeCl2 PBEsol relaxed
data_KFeCl2
_space_group_name_H-M_alt 'C 1 2/m 1'
_space_group_IT_number 12
_space_group_name_Hall '-C 2y'
_cell_length_a 6.7848
_cell_length_b 3.7488
_cell_length_c 6.8346
_cell_angle_alpha 90.00
_cell_angle_beta 108.00
_cell_angle_gamma 90.00
loop_
_atom_site_label
_atom_site_fract_x
_atom_site_fract_y
_atom_site_fract_z
K1 0.0000 0.0000 0.0000
Fe1 0.0000 0.5000 0.5000
Cl1 0.2289 0.0000 0.6879
# - Polymorph energy (0 for the lowest one): 0.028 eV per atom

---

no.,calculated volume (Å³ per cell),uncorrected formation energy (kJ per mole of atoms)
1,194.2,97.5
2,104.4,152.7
3,90.8,-58.1
4,66.2,13.5
5,151.3,10.2
6,167.0,37.8
7,445.8,-113.0
8,165.3,-68.7